#i
Here is a geometry-optimized YTc2Ru2 structure from the Alexandria database. Energies are from PBE-GGA.

a = 7.7041 Å, b = 7.7041 Å, c = 2.8105 Å
α = 90.00°, β = 90.00°, γ = 90.00°
Last column: nearest neighbours and their distance in Å.
Space group P4/mbm (No. 127)
One atom of each set of equivalent atoms:
Y 0.0000 0.0000 0.0000 [2 per cell]  2 Y 2.81, 4 Tc 3.08
Tc 0.1186 0.3814 0.0000 [4 per cell]  3 Tc 2.58-2.81, 6 Ru 2.66-2.70
Ru 0.1701 0.6701 0.5000 [4 per cell]  6 Tc 2.66-2.70, 2 Ru 2.81

Calculated values
Magnetic moment   0.0 Bohr magnetons per cell

=====

#ii
Here is a geometry-optimized YTc2Ru2 structure from the Alexandria database. Energies are from PBE-GGA.

a = 7.6873 Å, b = 7.6873 Å, c = 2.8093 Å
α = 90.00°, β = 90.00°, γ = 90.00°
Last column: nearest neighbours and their distance in Å.
Space group P4/mbm (No. 127)
One atom of each set of equivalent atoms:
Y 0.0000 0.0000 0.0000 [2 per cell]  2 Y 2.81, 4 Ru 3.05
Tc 0.1695 0.3305 0.5000 [4 per cell]  6 Ru 2.66-2.67, 2 Tc 2.81
Ru 0.1226 0.6226 0.0000 [4 per cell]  6 Tc 2.66-2.67, 3 Ru 2.67-2.81

Calculated values
Magnetic moment   0.0 Bohr magnetons per cell

=====

#iii
Here is a geometry-optimized YTc2Ru2 structure from the Alexandria database. Energies are from PBE-GGA.

a = 4.1434 Å, b = 4.1434 Å, c = 10.6405 Å
α = 90.00°, β = 90.00°, γ = 90.00°
Last column: nearest neighbours and their distance in Å.
Space group I4/mmm (No. 139)
One atom of each set of equivalent atoms:
Y 0.0000 0.0000 0.0000 [2 per cell]  8 Ru 3.17, 8 Tc 3.37
Tc 0.0000 0.5000 0.2500 [4 per cell]  4 Ru 2.53
Ru 0.0000 0.0000 0.3870 [4 per cell]  1 Ru 2.40, 4 Tc 2.53

Calculated values
Magnetic moment   0.0 Bohr magnetons per cell

=====

Which structure wins on stability? #iii wins.

=====

#i
Here is a geometry-optimized Zn2TcRu structure from the Alexandria database. Energies are from PBE-GGA.

a = 4.0610 Å, b = 4.0610 Å, c = 6.8271 Å
α = 90.00°, β = 90.00°, γ = 90.00°
Last column: nearest neighbours and their distance in Å.
Space group I-4m2 (No. 119)
One atom of each set of equivalent atoms:
Zn 0.0000 0.0000 0.0000 [2 per cell]  4 Ru 2.65, 4 Zn 2.65, 4 Tc 2.87
Zn 0.0000 0.5000 0.2500 [2 per cell]  4 Tc 2.65, 4 Zn 2.65, 4 Ru 2.87
Tc 0.0000 0.0000 0.5000 [2 per cell]  4 Ru 2.65, 8 Zn 2.65-2.87
Ru 0.0000 0.5000 0.7500 [2 per cell]  4 Tc 2.65, 8 Zn 2.65-2.87

Calculated values
Magnetic moment   0.0 Bohr magnetons per cell

=====

#ii
Here is a geometry-optimized Zn2TcRu structure from the Alexandria database. Energies are from PBE-GGA.

a = 2.8589 Å, b = 4.5884 Å, c = 8.9180 Å
α = 90.00°, β = 90.00°, γ = 90.00°
Last column: nearest neighbours and their distance in Å.
Space group Cmm2 (No. 35)
One atom of each set of equivalent atoms:
Zn 0.0000 0.0000 0.0000 [2 per cell]  8 Zn 2.68-2.86, 2 Tc 2.69
Zn 0.0000 0.5000 0.2543 [2 per cell]  2 Ru 2.65, 8 Zn 2.68-2.86
Tc 0.0000 0.5000 0.7439 [2 per cell]  2 Ru 2.57, 2 Zn 2.69, 6 Tc 2.70-2.86
Ru 0.0000 0.0000 0.5043 [2 per cell]  2 Tc 2.57, 2 Zn 2.65, 6 Ru 2.70-2.86

Calculated values
Magnetic moment   0.0 Bohr magnetons per cell

=====

#iii
Here is a geometry-optimized Zn2TcRu structure from the Alexandria database. Energies are from PBE-GGA.

a = 3.7495 Å, b = 3.7495 Å, c = 8.1105 Å
α = 90.00°, β = 90.00°, γ = 90.00°
Last column: nearest neighbours and their distance in Å.
Space group I4/mmm (No. 139)
One atom of each set of equivalent atoms:
Zn 0.0000 0.5000 0.2500 [4 per cell]  4 Zn 2.65, 4 Tc 2.76, 4 Ru 2.76
Tc 0.0000 0.0000 0.0000 [2 per cell]  4 Ru 2.65, 8 Zn 2.76
Ru 0.0000 0.0000 0.5000 [2 per cell]  4 Tc 2.65, 8 Zn 2.76

Calculated values
Magnetic moment   0.0 Bohr magnetons per cell

=====

Which structure wins on stability? #i wins.

=====

#i
Here is a geometry-optimized Zn2TcRu structure from the Alexandria database. Energies are from PBE-GGA.

a = 2.7446 Å, b = 2.7446 Å, c = 26.9329 Å
α = 90.00°, β = 90.00°, γ = 120.00°
Last column: nearest neighbours and their distance in Å.
Space group R3m (No. 160, hexagonal axes)
One atom of each set of equivalent atoms:
Zn 0.0000 0.0000 0.0000 [3 per cell]  3 Ru 2.74, 9 Zn 2.74-2.89
Zn 0.0000 0.0000 0.2435 [3 per cell]  9 Zn 2.74-2.89, 3 Tc 2.76
Tc 0.0000 0.0000 0.4929 [3 per cell]  3 Ru 2.60, 6 Tc 2.74, 3 Zn 2.76
Ru 0.0000 0.0000 0.7495 [3 per cell]  3 Tc 2.60, 3 Zn 2.74, 6 Ru 2.74

Calculated values
Magnetic moment   0.1 Bohr magnetons per cell

=====

#ii
Here is a geometry-optimized Zn2TcRu structure from the Alexandria database. Energies are from PBE-GGA.

a = 8.9462 Å, b = 2.8033 Å, c = 4.6495 Å
α = 90.00°, β = 101.94°, γ = 90.00°
Last column: nearest neighbours and their distance in Å.
Space group C2/m (No. 12)
One atom of each set of equivalent atoms:
Zn 0.2481 0.0000 0.2467 [4 per cell]  3 Ru 2.67-2.73, 6 Zn 2.69-2.80, 3 Tc 2.71-2.72
Tc 0.0000 0.0000 0.5000 [2 per cell]  6 Zn 2.71-2.72, 4 Ru 2.71, 2 Tc 2.80
Ru 0.0000 0.5000 0.0000 [2 per cell]  6 Zn 2.67-2.73, 4 Tc 2.71, 2 Ru 2.80

Calculated values
Magnetic moment   0.0 Bohr magnetons per cell

=====

#iii
Here is a geometry-optimized Zn2TcRu structure from the Alexandria database. Energies are from PBE-GGA.

a = 6.9336 Å, b = 6.9336 Å, c = 5.0953 Å
α = 90.00°, β = 90.00°, γ = 90.00°
Last column: nearest neighbours and their distance in Å.
Space group I-42d (No. 122)
One atom of each set of equivalent atoms:
Zn 0.2458 0.7500 0.1250 [8 per cell]  2 Ru 2.51, 2 Zn 2.55, 2 Tc 2.55
Tc 0.0000 0.0000 0.5000 [4 per cell]  2 Ru 2.55, 4 Zn 2.55
Ru 0.0000 0.0000 0.0000 [4 per cell]  4 Zn 2.51, 2 Tc 2.55

Calculated values
Magnetic moment   0.0 Bohr magnetons per cell

=====

#iv
Here is a geometry-optimized Zn2TcRu structure from the Alexandria database. Energies are from PBE-GGA.

a = 8.7603 Å, b = 2.7820 Å, c = 4.7125 Å
α = 90.00°, β = 97.94°, γ = 90.00°
Last column: nearest neighbours and their distance in Å.
Space group Cm (No. 8)
One atom of each set of equivalent atoms:
Zn 0.0000 0.0000 0.0000 [2 per cell]  5 Zn 2.51-2.78, 4 Ru 2.72-2.75, 3 Tc 2.73-2.81
Zn 0.2471 0.0000 0.7873 [2 per cell]  5 Zn 2.51-2.78, 4 Tc 2.72-2.76, 3 Ru 2.75-2.78
Tc 0.2523 0.5000 0.2934 [2 per cell]  3 Ru 2.54-2.63, 7 Zn 2.72-2.81, 2 Tc 2.78
Ru 0.4981 0.0000 0.4957 [2 per cell]  3 Tc 2.54-2.63, 7 Zn 2.72-2.78, 2 Ru 2.78

Calculated values
Magnetic moment   0.0 Bohr magnetons per cell

=====

Which structure wins on stability? #i wins.

=====

#i
Here is a geometry-optimized ZnTc2Ru2 structure from the Alexandria database. Energies are from PBE-GGA.

a = 7.4849 Å, b = 7.4849 Å, c = 2.7412 Å
α = 90.00°, β = 90.00°, γ = 90.00°
Last column: nearest neighbours and their distance in Å.
Space group P4/mbm (No. 127)
One atom of each set of equivalent atoms:
Zn 0.0000 0.0000 0.0000 [2 per cell]  2 Zn 2.74, 4 Ru 2.96
Tc 0.1669 0.3331 0.5000 [4 per cell]  6 Ru 2.59-2.60, 2 Tc 2.74
Ru 0.1250 0.6250 0.0000 [4 per cell]  6 Tc 2.59-2.60, 3 Ru 2.65-2.74

Calculated values
Magnetic moment   0.0 Bohr magnetons per cell

=====

#ii
Here is a geometry-optimized ZnTc2Ru2 structure from the Alexandria database. Energies are from PBE-GGA.

a = 7.5058 Å, b = 7.5058 Å, c = 2.7408 Å
α = 90.00°, β = 90.00°, γ = 90.00°
Last column: nearest neighbours and their distance in Å.
Space group P4/mbm (No. 127)
One atom of each set of equivalent atoms:
Zn 0.0000 0.0000 0.0000 [2 per cell]  2 Zn 2.74, 4 Tc 2.98
Tc 0.1227 0.3773 0.0000 [4 per cell]  6 Ru 2.59-2.62, 3 Tc 2.60-2.74
Ru 0.1673 0.6673 0.5000 [4 per cell]  6 Tc 2.59-2.62, 2 Ru 2.74

Calculated values
Magnetic moment   0.0 Bohr magnetons per cell

=====

Which structure wins on stability? #i wins.